The following is a PBE calculation of K2RbAuO after structural relaxation, from the Alexandria database.

Structure (CIF):
```
data_K2RbAuO
_chemical_formula_sum 'K2 Rb1 Au1 O1'
_cell_length_a 5.327
_cell_length_b 5.327
_cell_length_c 5.610
_cell_angle_alpha 90.00
_cell_angle_beta 90.00
_cell_angle_gamma 90.00
_space_group_name_H-M_alt 'P 4/m m m'
_space_group_IT_number 123
_space_group_name_Hall '-P 4 2'
loop_
_atom_site_label
_atom_site_fract_x
_atom_site_fract_y
_atom_site_fract_z
_atom_site_occupancy
K1 0.000 0.500 0.000 1
Rb1 0.000 0.000 0.500 1
Au1 0.500 0.500 0.500 1
O1 0.000 0.000 0.000 1
```

DFT total energy, eV per atom: -3.012
Total magnetic moment, μB per formula unit: 0.013